Entry 1:
Density functional theory data (GGA-PBE) for a relaxed structure of HoMgCo2H8.

Cell and atoms, written as POSCAR:
```
HoMgCo2H8
1.0
-1.292 -0.452 4.343
2.884 -1.743 3.063
2.304 3.994 3.488
Co H Mg Ho
2 8 1 1
Cartesian
3.201 2.091 8.331 Co
0.696 -0.292 2.564 Co
0.644 -0.316 4.182 H
1.261 1.213 2.888 H
0.865 -0.838 6.215 H
3.252 2.115 6.713 H
2.460 -1.145 4.867 H
3.031 2.636 4.680 H
1.437 2.944 6.028 H
2.636 0.585 8.007 H
0.000 0.000 0.000 Mg
1.948 0.899 5.448 Ho
```

Output
The value obtained for the total magnetization is 0.00 μB per formula unit. The calculation puts the total energy at -4.132 eV/atom.

=====

Entry 2:
Density functional theory data (GGA-PBE) for a relaxed structure of HoCo2PH.

Cell and atoms, written as POSCAR:
```
HoCo2PH
1.0
-2.966 -0.960 1.753
-0.876 -0.189 -5.233
1.978 -6.301 -0.103
Co Ho P H
4 2 2 2
Cartesian
-2.940 -1.298 -2.036 Co
1.076 -6.153 -1.548 Co
-2.184 -3.706 -2.075 Co
0.320 -3.745 -1.508 Co
-0.613 -5.321 -3.950 Ho
-1.251 -2.130 0.367 Ho
-0.802 -1.943 -2.420 P
-1.062 -5.507 -1.164 P
0.000 0.000 0.000 H
0.989 -3.151 -0.052 H
```

Output
The value obtained for the total magnetization is 0.00 μB per formula unit. The calculation puts the total energy at -6.280 eV/atom.

=====

Entry 3:
Density functional theory data (GGA-PBE) for a relaxed structure of Ho2Co2Si2H.

Cell and atoms, written as POSCAR:
```
Ho2Co2Si2H
1.0
3.978 0.000 0.000
1.989 5.046 -0.594
1.989 1.275 5.008
Ho H Co Si
2 1 2 2
Cartesian
3.978 4.496 0.974 Ho
3.978 1.825 3.440 Ho
0.000 0.000 0.000 H
3.978 4.625 4.113 Co
3.978 1.697 0.301 Co
1.989 2.328 1.209 Si
5.967 3.993 3.205 Si
```

Output
The value obtained for the total magnetization is 0.00 μB per formula unit. The calculation puts the total energy at -6.061 eV/atom.

=====

Entry 4:
Density functional theory data (GGA-PBE) for a relaxed structure of Co2HI.

Cell and atoms, written as POSCAR:
```
Co2HI
1.0
-1.589 -4.338 -0.534
2.702 -0.529 -3.748
4.341 -4.185 0.834
H I Co
2 2 4
Cartesian
0.557 -2.433 -2.141 H
3.800 -3.574 -2.528 H
1.654 -5.479 -0.920 I
0.000 0.000 0.000 I
2.323 -2.608 -2.286 Co
4.102 -5.048 -1.575 Co
0.682 -3.135 -0.509 Co
3.801 -7.314 -2.526 Co
```

Output
The value obtained for the total magnetization is 3.21 μB per formula unit. Its energy above the most stable polymorph in this dataset is 0 meV per atom.

=====

Entry 5:
Density functional theory data (GGA-PBE) for a relaxed structure of Co2HI.

Cell and atoms, written as POSCAR:
```
Co2HI
1.0
0.000 2.934 2.934
2.934 0.000 2.934
2.934 2.934 0.000
I H Co
1 1 2
Cartesian
2.934 2.934 2.934 I
0.000 0.000 0.000 H
1.467 1.467 1.467 Co
4.402 4.402 4.402 Co
```

Output
The value obtained for the total magnetization is 2.06 μB per formula unit. Its energy above the most stable polymorph in this dataset is 516 meV per atom.

=====

Entry 6:
Density functional theory data (GGA-PBE) for a relaxed structure of CoH2I2.

Cell and atoms, written as POSCAR:
```
CoH2I2
1.0
-1.372 -2.468 2.727
3.548 1.618 0.424
-4.245 7.181 4.363
I Co H
2 1 2
Cartesian
-1.703 6.251 4.800 I
-0.366 0.080 2.714 I
0.000 0.000 0.000 Co
-0.011 2.482 5.067 H
-2.059 3.849 2.447 H
```

Output
The value obtained for the total magnetization is 2.54 μB per formula unit. The calculation puts the total energy at -3.374 eV/atom.

=====

Entry 7:
Density functional theory data (GGA-PBE) for a relaxed structure of Co3HI.

Cell and atoms, written as POSCAR:
```
Co3HI
1.0
4.716 0.000 0.000
0.000 4.716 0.000
0.000 0.000 4.716
Co H I
3 1 1
Cartesian
0.000 2.358 0.000 Co
0.000 0.000 2.358 Co
2.358 0.000 0.000 Co
2.358 2.358 2.358 H
0.000 0.000 0.000 I
```

Output
The value obtained for the total magnetization is 5.00 μB per formula unit. Its energy above the most stable polymorph in this dataset is 1318 meV per atom.

=====

Entry 8:
Density functional theory data (GGA-PBE) for a relaxed structure of Co3HI.

Cell and atoms, written as POSCAR:
```
Co3HI
1.0
-0.166 3.206 2.066
-3.628 -0.770 0.904
1.176 -1.924 3.081
Co I H
3 1 1
Cartesian
0.588 -0.962 1.540 Co
-0.083 1.603 1.033 Co
-1.814 -0.385 0.452 Co
-1.309 0.256 3.025 I
0.000 0.000 0.000 H
```

Output
The value obtained for the total magnetization is 3.38 μB per formula unit. Its energy above the most stable polymorph in this dataset is 0 meV per atom.